TcHg2Os, relaxed, DFT GGA-PBEsol; ΔE_f = 0.982 eV/atom; total DFT energy (no corrections) = -5.172 eV/atom; relative energy among the computed polymorphs = 142 meV per atom; space group = Fm-3m (225)
1.0
0.000 3.210 3.210
3.210 0.000 3.210
3.210 3.210 0.000
Tc Hg Os
1 2 1
Cartesian
0.000 0.000 0.000
1.605 1.605 1.605
4.815 4.815 4.815
3.210 3.210 3.210

---

LaMoAs2, relaxed, DFT GGA-PBEsol; ΔE_f = 0.171 eV/atom; total DFT energy (no corrections) = -6.660 eV/atom; relative energy among the computed polymorphs = 356 meV per atom; space group = F-43m (216)
1.0
0.000 3.388 3.388
3.388 0.000 3.388
3.388 3.388 0.000
La Mo As
1 1 2
Cartesian
0.000 0.000 0.000
5.082 5.082 5.082
1.694 1.694 1.694
3.388 3.388 3.388

---

LiAlZn, relaxed, DFT GGA-PBEsol; ΔE_f = -0.111 eV/atom; total DFT energy (no corrections) = -2.657 eV/atom; relative energy among the computed polymorphs = 4 meV per atom; space group = Imm2 (44)
1.0
-1.400 1.987 3.985
1.400 -1.987 3.985
1.400 1.987 -3.985
Li Al Zn
1 1 1
Cartesian
0.000 0.000 0.000
0.000 0.000 2.638
0.000 0.000 5.313

---

BaY2W, relaxed, DFT GGA-PBEsol; ΔE_f = 0.912 eV/atom; total DFT energy (no corrections) = -6.488 eV/atom; space group = I-4m2 (119)
1.0
-2.378 2.378 4.699
2.378 -2.378 4.699
2.378 2.378 -4.699
Ba Y W
1 2 1
Cartesian
0.000 0.000 0.000
2.378 0.000 2.350
0.000 0.000 4.699
0.000 2.378 2.350

---

LiGeO2, relaxed, DFT GGA-PBEsol; total DFT energy (no corrections) = -5.449 eV/atom; E_form (uncorrected) = -106 kJ per mole of atoms; space group = R-3m (166)
1.0
1.584 0.915 5.531
-1.584 0.915 5.531
0.000 -1.829 5.531
Li Ge O
1 1 2
Cartesian
0.000 0.000 0.000
0.000 0.000 8.297
0.000 0.000 6.601
0.000 0.000 9.993

---

Sb, relaxed, DFT GGA-PBEsol; total DFT energy (no corrections) = -4.488 eV/atom; relative energy among the computed polymorphs = 69 meV per atom; E_form (uncorrected) = 7 kJ per mole of atoms; space group = Cmcm (63)
1.0
2.176 -6.007 0.000
2.176 6.007 0.000
0.000 0.000 4.347
Sb
4
Cartesian
2.176 4.463 3.260
2.176 1.560 3.260
2.176 -1.560 1.087
2.176 -4.463 1.087

---

Co3O4, relaxed, DFT GGA-PBEsol; total DFT energy (no corrections) = -7.339 eV/atom; E_form (uncorrected) = -99 kJ per mole of atoms; space group = Fd-3m (227)
1.0
0.000 3.989 3.989
3.989 0.000 3.989
3.989 3.989 0.000
Co O
6 8
Cartesian
0.000 0.000 0.000
1.994 1.994 0.000
1.994 0.000 1.994
2.992 2.992 2.992
0.000 1.994 1.994
4.986 4.986 4.986
6.079 3.893 3.893
1.898 1.898 1.898
4.085 4.085 1.898
4.085 1.898 4.085
3.893 6.079 3.893
3.893 3.893 6.079
6.079 6.079 6.079
1.898 4.085 4.085

---

BTeC3, relaxed, DFT GGA-PBEsol; total DFT energy (no corrections) = -4.077 eV/atom; E_form (uncorrected) = 368 kJ per mole of atoms; space group = Pm-3m (221)
1.0
4.150 0.000 0.000
0.000 4.150 0.000
0.000 0.000 4.150
B Te C
1 1 3
Cartesian
0.000 0.000 0.000
2.075 2.075 2.075
0.000 2.075 2.075
2.075 0.000 2.075
2.075 2.075 0.000

---

PIr2Os, relaxed, DFT GGA-PBEsol; ΔE_f = 0.264 eV/atom; total DFT energy (no corrections) = -9.150 eV/atom; space group = Pmm2 (25)
1.0
2.758 0.000 0.000
0.000 3.602 0.000
0.000 0.000 5.617
P Ir Os
1 2 1
Cartesian
0.000 0.000 0.000
0.000 0.000 2.569
1.379 1.801 0.973
1.379 1.801 3.837

---

Cd2RhAu, relaxed, DFT GGA-PBEsol; ΔE_f = -0.091 eV/atom; total DFT energy (no corrections) = -3.705 eV/atom; space group = I-4m2 (119)
1.0
-2.033 2.033 4.095
2.033 -2.033 4.095
2.033 2.033 -4.095
Cd Rh Au
2 1 1
Cartesian
0.000 0.000 0.000
0.000 2.033 2.047
0.000 0.000 4.095
2.033 0.000 2.047

---

Be2SiAs, relaxed, DFT GGA-PBEsol; total DFT energy (no corrections) = -4.539 eV/atom; relative energy among the computed polymorphs = 0 meV per atom; E_form (uncorrected) = 17 kJ per mole of atoms; space group = Amm2 (38)
1.0
4.411 0.000 0.000
0.000 1.847 3.535
0.000 -1.847 3.535
Be Si As
2 1 1
Cartesian
0.000 0.000 0.000
2.205 0.000 1.132
0.000 0.000 2.217
2.205 0.000 5.957

---

Zn2CrSnW, relaxed, DFT GGA-PBEsol; ΔE_f = 1.117 eV/atom; total DFT energy (no corrections) = -5.178 eV/atom; space group = P4/mmm (123)
1.0
4.667 0.000 0.000
0.000 4.667 0.000
0.000 0.000 4.366
Zn Cr Sn W
2 1 1 1
Cartesian
0.000 2.334 0.000
2.334 0.000 0.000
0.000 0.000 0.000
2.334 2.334 2.183
0.000 0.000 2.183

---

ZrCoSi, relaxed, DFT GGA-PBEsol; total DFT energy (no corrections) = -8.414 eV/atom; E_form (uncorrected) = -86 kJ per mole of atoms; space group = Cmcm (63)
1.0
1.752 -4.807 0.000
1.752 4.807 0.000
0.000 0.000 5.115
Zr Co Si
2 2 2
Cartesian
1.752 2.864 3.836
1.752 -2.864 1.279
1.752 0.000 0.000
1.752 0.000 2.557
1.752 4.003 1.279
1.752 -4.003 3.836

---

ZnCdGeC2, relaxed, DFT GGA-PBEsol; ΔE_f = 2.468 eV/atom; total DFT energy (no corrections) = -2.933 eV/atom; space group = P4/mmm (123)
1.0
4.189 0.000 0.000
0.000 4.189 0.000
0.000 0.000 5.058
Zn Cd Ge C
1 1 1 2
Cartesian
0.000 0.000 0.000
0.000 0.000 2.529
2.094 2.094 0.000
0.000 2.094 2.529
2.094 0.000 2.529

---

In3W, relaxed, DFT GGA-PBEsol; ΔE_f = 0.604 eV/atom; total DFT energy (no corrections) = -5.085 eV/atom; relative energy among the computed polymorphs = 125 meV per atom; space group = R-3m (166)
1.0
4.781 2.760 1.014
-4.781 2.760 1.014
0.000 -5.521 1.014
In W
3 1
Cartesian
-2.391 -1.380 1.014
-2.391 1.380 2.028
0.000 2.760 1.014
0.000 0.000 0.000

---

Sc2HgIrCl, relaxed, DFT GGA-PBEsol; total DFT energy (no corrections) = -4.896 eV/atom; E_form (uncorrected) = 22 kJ per mole of atoms; space group = P4/mmm (123)
1.0
4.555 0.000 0.000
0.000 4.555 0.000
0.000 0.000 4.918
Sc Hg Ir Cl
2 1 1 1
Cartesian
0.000 2.277 0.000
2.277 0.000 0.000
0.000 0.000 2.459
2.277 2.277 2.459
0.000 0.000 0.000

---

Li3CaC, relaxed, DFT GGA-PBEsol; ΔE_f = 0.370 eV/atom; total DFT energy (no corrections) = -3.166 eV/atom; space group = Pm-3m (221)
1.0
4.233 0.000 0.000
0.000 4.233 0.000
0.000 0.000 4.233
Li Ca C
3 1 1
Cartesian
0.000 0.000 2.116
0.000 2.116 0.000
2.116 0.000 0.000
2.116 2.116 2.116
0.000 0.000 0.000

---

ZrFe2GeCl, relaxed, DFT GGA-PBEsol; total DFT energy (no corrections) = -5.718 eV/atom; E_form (uncorrected) = 104 kJ per mole of atoms; space group = P4/mmm (123)
1.0
4.713 0.000 0.000
0.000 4.713 0.000
0.000 0.000 4.736
Zr Fe Ge Cl
1 2 1 1
Cartesian
0.000 0.000 0.000
0.000 2.357 0.000
2.357 0.000 0.000
2.357 2.357 2.368
0.000 0.000 2.368

---

GaTe3F, relaxed, DFT GGA-PBEsol; total DFT energy (no corrections) = -3.227 eV/atom; relative energy among the computed polymorphs = 0 meV per atom; E_form (uncorrected) = -6 kJ per mole of atoms; space group = Pm-3m (221)
1.0
4.970 0.000 0.000
0.000 4.970 0.000
0.000 0.000 4.970
Ga Te F
1 3 1
Cartesian
0.000 0.000 0.000
0.000 2.485 2.485
2.485 0.000 2.485
2.485 2.485 0.000
2.485 2.485 2.485

---

Mg10FeO11, relaxed, DFT GGA-PBEsol; total DFT energy (no corrections) = -6.339 eV/atom; E_form (uncorrected) = -244 kJ per mole of atoms; space group = P-1 (2)
1.0
5.135 0.000 0.000
-1.712 6.403 0.000
-0.859 -2.287 6.162
Mg Fe O
10 1 11
Cartesian
-0.430 0.212 2.525
-0.424 2.984 1.411
-0.430 5.709 0.303
0.441 -0.229 5.309
0.421 2.544 4.194
2.143 1.572 1.967
2.123 4.345 0.853
2.993 -1.593 5.859
2.987 1.132 4.751
2.994 3.903 3.636
2.138 -1.144 3.081
-1.285 2.058 3.081
-1.265 4.806 1.976
0.428 1.143 0.835
-0.430 1.601 5.873
-0.424 4.362 4.746
1.287 0.666 3.632
1.276 3.450 2.529
2.988 -0.246 1.416
2.994 2.515 0.289
2.135 2.973 5.327
3.829 -0.691 4.185